Here is an optimized crystal structure of TeWCl from Alexandria via LeMat-Bulk. Energies are from PBE.

a = 3.613 Å, b = 7.644 Å, c = 7.830 Å
α = 81.62°, β = 77.14°, γ = 79.32°
Sites, in units of the cell vectors:
1 Cl 0.694 0.727 0.842
2 Cl 0.306 0.273 0.158
3 Te 0.084 0.228 0.660
4 Te 0.916 0.772 0.340
5 W 0.705 0.963 0.624
6 W 0.295 0.037 0.376

Values from the calculation:
raw formation energy	-0.265	eV per atom
SG	P-1, No. 2
V	34.32	Å³ per atom
M_tot	0.0	μB/f.u.
relative energy among the computed polymorphs	0.0	meV/atom